Material: Ti2BeSn
Method: DFT, GGA-PBE
State: relaxed

Geometry as POSCAR:
```
Ti2BeSn
1.0
-2.035 4.514 5.150
-2.219 -5.517 3.960
0.302 -0.678 5.670
Ti Sn Be
4 2 2
Cartesian
-1.431 -1.040 7.780
-1.623 -2.926 4.681
-1.416 1.835 4.986
-3.433 -1.230 12.111
0.000 0.000 0.000
-1.930 1.667 7.687
-2.127 -0.501 4.555
-2.022 -3.348 7.092
```

Results
The calculated total energy is -5.693 eV per atom. Its symmetry is I-42d, No. 122. Its energy above the most stable polymorph in this dataset is 0.366 eV/atom.

Material: Ti2BeSn
Method: DFT, GGA-PBE
State: relaxed

Geometry as POSCAR:
```
Ti2BeSn
1.0
-3.246 2.105 1.451
0.598 -1.545 3.580
2.366 3.022 0.909
Sn Ti Be
1 2 1
Cartesian
-0.140 1.791 2.970
0.299 -0.773 1.790
1.183 1.511 0.455
-1.623 1.052 0.726
```

Results
The calculated total energy is -6.059 eV per atom. Its symmetry is P4/mmm, No. 123. Its energy above the most stable polymorph in this dataset is 0.000 eV/atom.

Material: Ti2Be2Sn
Method: DFT, GGA-PBE
State: relaxed

Geometry as POSCAR:
```
Ti2Be2Sn
1.0
-4.746 3.910 -0.950
-2.917 -2.330 4.977
1.646 2.519 2.144
Be Ti Sn
4 4 2
Cartesian
-3.266 2.139 -0.006
-4.396 -0.560 4.033
-1.672 -0.438 1.798
-5.991 2.017 2.230
-1.245 2.173 1.586
-4.102 3.741 1.938
-4.771 1.925 4.585
-1.914 0.358 4.233
-3.831 0.790 2.014
0.000 0.000 0.000
```

Results
The calculated total energy is -5.690 eV per atom. Its symmetry is P4/mbm, No. 127. Its energy above the most stable polymorph in this dataset is 0.023 eV/atom.

Material: Ti2BeSn
Method: DFT, GGA-PBE
State: relaxed

Geometry as POSCAR:
```
Ti2BeSn
1.0
4.226 0.000 0.000
2.113 3.660 0.000
2.113 1.220 4.386
Ti Be Sn
2 1 1
Cartesian
6.339 3.660 3.024
2.113 1.220 1.363
4.226 2.440 2.193
0.000 0.000 0.000
```

Results
The calculated total energy is -5.881 eV per atom. Its symmetry is R-3m, No. 166. Its energy above the most stable polymorph in this dataset is 0.177 eV/atom.